Entry 1:
LaCrBr2 (GGA-PBE, relaxed); uncorrected formation energy = -529 meV/atom
1.0
1.913 1.104 8.274
-1.913 1.104 8.274
0.000 -2.208 8.274
La Cr Br
1 1 2
Direct
0.000 0.000 0.000 La
0.500 0.500 0.500 Cr
0.239 0.239 0.239 Br
0.761 0.761 0.761 Br

Entry 2:
Ce3Zn4Ir4 (GGA-PBE, relaxed); energy of formation from the pure elements = -555 meV/atom
1.0
-1.990 3.732 7.058
1.990 -3.732 7.058
1.990 3.732 -7.058
Ce Zn Ir
3 4 4
Direct
0.000 0.000 0.000 Ce
0.376 0.876 0.500 Ce
0.624 0.124 0.500 Ce
0.019 0.326 0.693 Zn
0.367 0.674 0.693 Zn
0.633 0.326 0.307 Zn
0.981 0.674 0.307 Zn
0.227 0.227 0.000 Ir
0.302 0.500 0.802 Ir
0.698 0.500 0.198 Ir
0.773 0.773 0.000 Ir

Entry 3:
SrZnF4 (GGA-PBE, relaxed); uncorrected formation energy = -3122 meV/atom
1.0
7.785 0.000 0.000
0.000 5.659 0.000
-1.366 0.000 7.928
Sr Zn F
4 4 16
Direct
0.165 0.228 0.402 Sr
0.165 0.272 0.902 Sr
0.835 0.728 0.098 Sr
0.835 0.772 0.598 Sr
0.339 0.726 0.198 Zn
0.339 0.774 0.698 Zn
0.661 0.226 0.302 Zn
0.661 0.274 0.802 Zn
0.111 0.509 0.163 F
0.111 0.991 0.663 F
0.162 0.506 0.632 F
0.162 0.994 0.132 F
0.329 0.654 0.943 F
0.329 0.846 0.443 F
0.434 0.099 0.795 F
0.434 0.401 0.295 F
0.566 0.599 0.705 F
0.566 0.901 0.205 F
0.671 0.154 0.557 F
0.671 0.346 0.057 F
0.838 0.006 0.868 F
0.838 0.494 0.368 F
0.889 0.009 0.337 F
0.889 0.491 0.837 F

Entry 4:
K3Hf4Ag2F23 (GGA-PBE, relaxed); uncorrected formation energy = -3171 meV/atom
1.0
7.961 0.000 0.000
0.000 11.316 0.000
-1.230 0.000 10.225
K Hf Ag F
6 8 4 46
Direct
0.000 0.000 0.000 K
0.000 0.500 0.500 K
0.282 0.022 0.364 K
0.282 0.478 0.864 K
0.718 0.522 0.136 K
0.718 0.978 0.636 K
0.170 0.696 0.165 Hf
0.170 0.804 0.665 Hf
0.474 0.682 0.458 Hf
0.474 0.818 0.958 Hf
0.526 0.182 0.042 Hf
0.526 0.318 0.542 Hf
0.830 0.196 0.335 Hf
0.830 0.304 0.835 Hf
0.181 0.160 0.686 Ag
0.181 0.340 0.186 Ag
0.819 0.660 0.814 Ag
0.819 0.840 0.314 Ag
0.001 0.718 0.005 F
0.001 0.782 0.505 F
0.016 0.142 0.233 F
0.016 0.358 0.733 F
0.031 0.643 0.712 F
0.031 0.857 0.212 F
0.138 0.527 0.094 F
0.138 0.973 0.594 F
0.267 0.646 0.564 F
0.267 0.854 0.064 F
0.310 0.586 0.311 F
0.310 0.914 0.811 F
0.324 0.710 0.817 F
0.324 0.790 0.317 F
0.353 0.136 0.156 F
0.353 0.364 0.656 F
0.356 0.184 0.881 F
0.356 0.316 0.381 F
0.383 0.158 0.574 F
0.383 0.342 0.074 F
0.388 0.664 0.069 F
0.388 0.836 0.569 F
0.500 0.000 0.000 F
0.500 0.500 0.500 F
0.612 0.164 0.431 F
0.612 0.336 0.931 F
0.617 0.658 0.926 F
0.617 0.842 0.426 F
0.644 0.684 0.619 F
0.644 0.816 0.119 F
0.647 0.636 0.344 F
0.647 0.864 0.844 F
0.676 0.210 0.683 F
0.676 0.290 0.183 F
0.690 0.086 0.189 F
0.690 0.414 0.689 F
0.733 0.146 0.936 F
0.733 0.354 0.436 F
0.862 0.027 0.406 F
0.862 0.473 0.906 F
0.969 0.143 0.788 F
0.969 0.357 0.288 F
0.984 0.642 0.267 F
0.984 0.858 0.767 F
0.999 0.218 0.495 F
0.999 0.282 0.995 F

Entry 5:
SbOs3S (GGA-PBE, relaxed); uncorrected formation energy = 2835 meV/atom
1.0
4.896 0.000 0.000
0.000 4.896 0.000
0.000 0.000 4.896
Sb Os S
1 3 1
Direct
0.000 0.000 0.000 Sb
0.000 0.000 0.500 Os
0.000 0.500 0.000 Os
0.500 0.000 0.000 Os
0.500 0.500 0.500 S

Entry 6:
Rb2Ga3CuF12 (GGA-PBE, relaxed); uncorrected formation energy = -2514 meV/atom
1.0
3.717 2.146 5.892
-3.717 2.146 5.892
0.000 -4.292 5.892
Rb Ga Cu F
2 3 1 12
Direct
0.126 0.126 0.126 Rb
0.874 0.874 0.874 Rb
0.000 0.500 0.500 Ga
0.500 0.000 0.500 Ga
0.500 0.500 0.000 Ga
0.500 0.500 0.500 Cu
0.129 0.593 0.593 F
0.195 0.195 0.583 F
0.195 0.583 0.195 F
0.407 0.407 0.871 F
0.407 0.871 0.407 F
0.417 0.805 0.805 F
0.583 0.195 0.195 F
0.593 0.129 0.593 F
0.593 0.593 0.129 F
0.805 0.417 0.805 F
0.805 0.805 0.417 F
0.871 0.407 0.407 F

Entry 7:
Sc3VAs (GGA-PBE, relaxed); energy of formation from the pure elements = 383 meV/atom
1.0
4.826 0.000 0.000
0.000 4.826 0.000
0.000 0.000 4.826
Sc V As
3 1 1
Direct
0.000 0.000 0.500 Sc
0.000 0.500 0.000 Sc
0.500 0.000 0.000 Sc
0.000 0.000 0.000 V
0.500 0.500 0.500 As

Entry 8:
La5Tb2Sc (GGA-PBE, relaxed); energy of formation from the pure elements = 57 meV/atom
1.0
6.959 -5.624 0.000
6.959 5.624 0.000
-0.939 0.000 3.504
La Tb Sc
5 2 1
Direct
0.000 0.000 0.000 La
0.144 0.597 0.370 La
0.403 0.856 0.630 La
0.597 0.144 0.370 La
0.856 0.403 0.630 La
0.245 0.245 0.745 Tb
0.755 0.755 0.255 Tb
0.500 0.500 0.000 Sc

Entry 9:
Ce2YTc (GGA-PBE, relaxed); energy of formation from the pure elements = 147 meV/atom
1.0
1.904 1.099 8.926
-1.904 1.099 8.926
0.000 -2.198 8.926
Ce Y Tc
2 1 1
Direct
0.227 0.227 0.227 Ce
0.773 0.773 0.773 Ce
0.000 0.000 0.000 Y
0.500 0.500 0.500 Tc

Entry 10:
CaPdPtO6 (GGA-PBE, relaxed); uncorrected formation energy = -926 meV/atom
1.0
5.260 0.000 0.000
-2.630 4.555 0.000
0.000 0.000 10.029
Ca Pd Pt O
2 2 2 12
Direct
0.000 0.000 0.000 Ca
0.000 0.000 0.500 Ca
0.333 0.667 0.250 Pd
0.667 0.333 0.750 Pd
0.333 0.667 0.750 Pt
0.667 0.333 0.250 Pt
0.004 0.364 0.642 O
0.004 0.640 0.858 O
0.360 0.364 0.858 O
0.360 0.996 0.642 O
0.364 0.004 0.142 O
0.364 0.360 0.358 O
0.636 0.640 0.642 O
0.636 0.996 0.858 O
0.640 0.004 0.358 O
0.640 0.636 0.142 O
0.996 0.360 0.142 O
0.996 0.636 0.358 O

Entry 11:
EuBr (GGA-PBE, relaxed); uncorrected formation energy = -1437 meV/atom
1.0
4.252 0.000 0.000
0.000 4.252 0.000
0.000 0.000 7.012
Eu Br
2 2
Direct
0.250 0.250 0.190 Eu
0.750 0.750 0.810 Eu
0.250 0.250 0.666 Br
0.750 0.750 0.334 Br

Entry 12:
PbClF (GGA-PBE, relaxed); uncorrected formation energy = -1633 meV/atom
1.0
0.000 3.308 3.308
3.308 0.000 3.308
3.308 3.308 0.000
Pb Cl F
1 1 1
Direct
0.000 0.000 0.000 Pb
0.750 0.750 0.750 Cl
0.250 0.250 0.250 F